VASP calculation (GGA-PBE) on a geometry-optimized Cs2Ag3Pb structure.

Cell: 6.1986 7.0666 9.4131 Å, 90.00 90.00 90.00°
Fractional positions:
Cs 0.2500 0.0000 0.1245
Cs 0.2500 0.5000 0.3596
Cs 0.7500 0.0000 0.8755
Cs 0.7500 0.5000 0.6404
Ag 0.0000 0.0000 0.5000
Ag 0.2500 0.2010 0.7092
Ag 0.2500 0.7990 0.7092
Ag 0.5000 0.0000 0.5000
Ag 0.7500 0.2010 0.2908
Ag 0.7500 0.7990 0.2908
Pb 0.2500 0.5000 0.9190
Pb 0.7500 0.5000 0.0810

## Properties
The space group is Pmma.

VASP calculation (GGA-PBE) on a geometry-optimized CsAg3Pb structure.

Cell: 5.5518 5.5518 5.5518 Å, 90.00 90.00 90.00°
Fractional positions:
Cs 0.0000 0.0000 0.0000
Ag 0.0000 0.5000 0.5000
Ag 0.5000 0.0000 0.5000
Ag 0.5000 0.5000 0.0000
Pb 0.5000 0.5000 0.5000

## Properties
Its offset from the most stable computed form is 0.000 eV/atom. The space group is Pm-3m.

VASP calculation (GGA-PBE) on a geometry-optimized CsAgPb3 structure.

Cell: 7.4584 7.4564 5.1761 Å, 69.71 69.67 40.61°
Fractional positions:
Cs 0.0000 0.0000 0.0000
Ag 0.6202 0.6202 0.3798
Pb 0.2404 0.2404 0.2596
Pb 0.3903 0.3903 0.6097
Pb 0.7404 0.7404 0.7596

## Properties
Its offset from the most stable computed form is 0.000 eV/atom. The space group is Fmm2.

VASP calculation (GGA-PBE) on a geometry-optimized Cs3AgPb4 structure.

Cell: 7.4174 14.2362 7.0792 Å, 90.00 90.00 90.00°
Fractional positions:
Cs 0.2500 0.0020 0.1770
Cs 0.2500 0.2500 0.5478
Cs 0.2500 0.4980 0.1770
Cs 0.7500 0.5020 0.8230
Cs 0.7500 0.7500 0.4522
Cs 0.7500 0.9980 0.8230
Ag 0.2500 0.7500 0.3156
Ag 0.7500 0.2500 0.6844
Pb 0.0256 0.7500 0.9624
Pb 0.2500 0.6355 0.6709
Pb 0.2500 0.8645 0.6709
Pb 0.4744 0.7500 0.9624
Pb 0.5256 0.2500 0.0376
Pb 0.7500 0.1355 0.3291
Pb 0.7500 0.3645 0.3291
Pb 0.9744 0.2500 0.0376

## Properties
The space group is Pmmn.

VASP calculation (GGA-PBE) on a geometry-optimized CsAgPb3 structure.

Cell: 6.3003 6.3003 6.3003 Å, 90.00 90.00 90.00°
Fractional positions:
Cs 0.0000 0.0000 0.0000
Ag 0.5000 0.5000 0.5000
Pb 0.0000 0.0000 0.5000
Pb 0.0000 0.5000 0.0000
Pb 0.5000 0.0000 0.0000

## Properties
Its offset from the most stable computed form is 1.499 eV/atom. The space group is Pm-3m.

VASP calculation (GGA-PBE) on a geometry-optimized Cs2AgPb structure.

Cell: 13.7130 13.7130 5.3939 Å, 90.00 90.00 90.00°
Fractional positions:
Cs 0.0831 0.7500 0.1250
Cs 0.2500 0.0831 0.8750
Cs 0.2500 0.4169 0.3750
Cs 0.4169 0.7500 0.6250
Cs 0.5831 0.2500 0.6250
Cs 0.7500 0.5831 0.3750
Cs 0.7500 0.9169 0.8750
Cs 0.9169 0.2500 0.1250
Ag 0.0000 0.0000 0.0000
Ag 0.0000 0.5000 0.2500
Ag 0.5000 0.0000 0.7500
Ag 0.5000 0.5000 0.5000
Pb 0.0000 0.0000 0.5000
Pb 0.0000 0.5000 0.7500
Pb 0.5000 0.0000 0.2500
Pb 0.5000 0.5000 0.0000

## Properties
Its offset from the most stable computed form is 0.097 eV/atom. The space group is I-42d.

VASP calculation (GGA-PBE) on a geometry-optimized CsAgPb structure.

Cell: 4.0504 8.2816 8.4824 Å, 117.55 90.05 104.00°
Fractional positions:
Cs 0.1786 0.3558 0.1810
Cs 0.8214 0.6442 0.8190
Ag 0.1003 0.2019 0.5581
Ag 0.8997 0.7981 0.4419
Pb 0.4769 0.9535 0.2817
Pb 0.5231 0.0465 0.7183

## Properties
Its offset from the most stable computed form is 0.031 eV/atom. The space group is P-1.

VASP calculation (GGA-PBE) on a geometry-optimized CsAg2Pb2 structure.

Cell: 6.6409 7.2159 8.2911 Å, 86.56 66.58 65.00°
Fractional positions:
Cs 0.1325 0.2520 0.2594
Cs 0.8675 0.7480 0.7406
Ag 0.2266 0.8029 0.9481
Ag 0.4712 0.6978 0.5621
Ag 0.5288 0.3022 0.4379
Ag 0.7734 0.1971 0.0519
Pb 0.2122 0.1413 0.7211
Pb 0.4527 0.6400 0.2091
Pb 0.5473 0.3600 0.7909
Pb 0.7878 0.8587 0.2789

## Properties
Its offset from the most stable computed form is 0.000 eV/atom. The space group is P-1.

VASP calculation (GGA-PBE) on a geometry-optimized Cs12Ag5Pb3 structure.

Cell: 19.4673 19.4673 19.4673 Å, 109.47 109.47 109.47°
Fractional positions:
Cs 0.0493 0.2214 0.1344
Cs 0.0493 0.3279 0.9150
Cs 0.0850 0.6344 0.4130
Cs 0.0850 0.9507 0.6721
Cs 0.0870 0.7214 0.6721
Cs 0.0870 0.8656 0.4150
Cs 0.1344 0.0493 0.2214
Cs 0.1344 0.5850 0.9130
Cs 0.1721 0.2214 0.5870
Cs 0.1721 0.4507 0.5850
Cs 0.2214 0.1344 0.0493
Cs 0.2214 0.5870 0.1721
Cs 0.2786 0.3279 0.9130
Cs 0.2786 0.4507 0.3656
Cs 0.3279 0.9130 0.2786
Cs 0.3279 0.9150 0.0493
Cs 0.3656 0.2786 0.4507
Cs 0.3656 0.5870 0.9150
Cs 0.4130 0.0850 0.6344
Cs 0.4130 0.8279 0.7786
Cs 0.4150 0.0870 0.8656
Cs 0.4150 0.8279 0.5493
Cs 0.4507 0.3656 0.2786
Cs 0.4507 0.5850 0.1721
Cs 0.5493 0.4150 0.8279
Cs 0.5493 0.6344 0.7214
Cs 0.5850 0.1721 0.4507
Cs 0.5850 0.9130 0.1344
Cs 0.5870 0.1721 0.2214
Cs 0.5870 0.9150 0.3656
Cs 0.6344 0.4130 0.0850
Cs 0.6344 0.7214 0.5493
Cs 0.6721 0.0850 0.9507
Cs 0.6721 0.0870 0.7214
Cs 0.7214 0.5493 0.6344
Cs 0.7214 0.6721 0.0870
Cs 0.7786 0.4130 0.8279
Cs 0.7786 0.8656 0.9507
Cs 0.8279 0.5493 0.4150
Cs 0.8279 0.7786 0.4130
Cs 0.8656 0.4150 0.0870
Cs 0.8656 0.9507 0.7786
Cs 0.9130 0.1344 0.5850
Cs 0.9130 0.2786 0.3279
Cs 0.9150 0.0493 0.3279
Cs 0.9150 0.3656 0.5870
Cs 0.9507 0.6721 0.0850
Cs 0.9507 0.7786 0.8656
Ag 0.0000 0.0000 0.0000
Ag 0.0000 0.0000 0.5000
Ag 0.0000 0.5000 0.0000
Ag 0.0000 0.5000 0.5000
Ag 0.1250 0.7500 0.8750
Ag 0.1250 0.8750 0.2500
Ag 0.2500 0.1250 0.8750
Ag 0.2500 0.6250 0.3750
Ag 0.3750 0.2500 0.6250
Ag 0.3750 0.6250 0.7500
Ag 0.5000 0.0000 0.0000
Ag 0.5000 0.0000 0.5000
Ag 0.5000 0.5000 0.0000
Ag 0.5000 0.5000 0.5000
Ag 0.6250 0.3750 0.2500
Ag 0.6250 0.7500 0.3750
Ag 0.7500 0.3750 0.6250
Ag 0.7500 0.8750 0.1250
Ag 0.8750 0.1250 0.7500
Ag 0.8750 0.2500 0.1250
Pb 0.1250 0.2500 0.3750
Pb 0.1250 0.3750 0.7500
Pb 0.2500 0.3750 0.1250
Pb 0.2500 0.8750 0.6250
Pb 0.3750 0.1250 0.2500
Pb 0.3750 0.7500 0.1250
Pb 0.6250 0.2500 0.8750
Pb 0.6250 0.8750 0.7500
Pb 0.7500 0.1250 0.3750
Pb 0.7500 0.6250 0.8750
Pb 0.8750 0.6250 0.2500
Pb 0.8750 0.7500 0.6250

## Properties
The space group is Ia-3d.

VASP calculation (GGA-PBE) on a geometry-optimized CsAg2Pb2 structure.

Cell: 5.0283 5.0283 12.8332 Å, 90.00 90.00 90.00°
Fractional positions:
Cs 0.0000 0.0000 0.0000
Cs 0.5000 0.5000 0.5000
Ag 0.0000 0.0000 0.3822
Ag 0.0000 0.0000 0.6178
Ag 0.5000 0.5000 0.1178
Ag 0.5000 0.5000 0.8822
Pb 0.0000 0.5000 0.2500
Pb 0.0000 0.5000 0.7500
Pb 0.5000 0.0000 0.2500
Pb 0.5000 0.0000 0.7500

## Properties
Its offset from the most stable computed form is 0.033 eV/atom. The space group is I4/mmm.

VASP calculation (GGA-PBE) on a geometry-optimized CsAg2Pb2 structure.

Cell: 9.5177 9.5177 3.3174 Å, 90.00 90.00 90.00°
Fractional positions:
Cs 0.0000 0.0000 0.0000
Cs 0.5000 0.5000 0.0000
Ag 0.1517 0.3483 0.5000
Ag 0.3483 0.8483 0.5000
Ag 0.6517 0.1517 0.5000
Ag 0.8483 0.6517 0.5000
Pb 0.1328 0.6328 0.0000
Pb 0.3672 0.1328 0.0000
Pb 0.6328 0.8672 0.0000
Pb 0.8672 0.3672 0.0000

## Properties
Its offset from the most stable computed form is 0.075 eV/atom. The space group is P4/mbm.

VASP calculation (GGA-PBE) on a geometry-optimized Cs2AgPb2 structure.

Cell: 11.4551 11.4551 3.6387 Å, 90.00 90.00 90.00°
Fractional positions:
Cs 0.2058 0.2942 0.0000
Cs 0.2942 0.7942 0.0000
Cs 0.7058 0.2058 0.0000
Cs 0.7942 0.7058 0.0000
Ag 0.0000 0.0000 0.5000
Ag 0.5000 0.5000 0.5000
Pb 0.0903 0.5903 0.5000
Pb 0.4097 0.0903 0.5000
Pb 0.5903 0.9097 0.5000
Pb 0.9097 0.4097 0.5000

## Properties
Its offset from the most stable computed form is 0.307 eV/atom. The space group is P4/mbm.

Number 1: ΔH_f (0 K) -0.036 eV/atom, E_tot -28.4 eV per cell. Number 2: ΔH_f (0 K) 0.166 eV/atom, E_tot -12.3 eV per cell. Number 3: ΔH_f (0 K) -0.088 eV/atom, E_tot -15.3 eV per cell. Number 4: ΔH_f (0 K) -0.225 eV/atom, E_tot -44.1 eV per cell. Number 5: ΔH_f (0 K) 1.411 eV/atom, E_tot -7.8 eV per cell. Number 6: ΔH_f (0 K) 0.060 eV/atom, E_tot -32.1 eV per cell. Number 7: ΔH_f (0 K) 0.037 eV/atom, E_tot -14.6 eV per cell. Number 8: ΔH_f (0 K) 0.020 eV/atom, E_tot -27.7 eV per cell. Number 9: ΔH_f (0 K) 0.104 eV/atom, E_tot -134.1 eV per cell. Number 10: ΔH_f (0 K) 0.052 eV/atom, E_tot -27.4 eV per cell. Number 11: ΔH_f (0 K) 0.094 eV/atom, E_tot -27.0 eV per cell. Number 12: ΔH_f (0 K) 0.217 eV/atom, E_tot -21.8 eV per cell.